LaSm2NpP4: optimized geometry, PBE.

a = 7.114 Å, b = 4.103 Å, c = 7.128 Å
α = 90.00°, β = 109.32°, γ = 90.00°
Space group P2/m (No. 10)
Asymmetric unit:
La 0.000 0.000 0.000 (multiplicity 1)
Sm 0.500 0.000 0.500 (multiplicity 1)
Sm 0.500 0.500 0.000 (multiplicity 1)
Np 0.000 0.500 0.500 (multiplicity 1)
P 0.244 0.000 0.738 (multiplicity 2)
P 0.250 0.500 0.261 (multiplicity 2)

Properties
Energy relative to the elements in eV/atom: -1.369
Crystal system: monoclinic

La2SmNpP4: optimized geometry, PBE.

a = 7.176 Å, b = 4.139 Å, c = 7.202 Å
α = 90.00°, β = 109.27°, γ = 90.00°
Space group P2/m (No. 10)
Asymmetric unit:
La 0.000 0.000 0.000 (multiplicity 1)
La 0.500 0.500 0.000 (multiplicity 1)
Sm 0.000 0.500 0.500 (multiplicity 1)
Np 0.500 0.000 0.500 (multiplicity 1)
P 0.253 0.000 0.736 (multiplicity 2)
P 0.262 0.500 0.268 (multiplicity 2)

Properties
Energy relative to the elements in eV/atom: -1.373
Crystal system: monoclinic

Sr2LaNpP4: optimized geometry, PBE.

a = 7.325 Å, b = 4.232 Å, c = 7.361 Å
α = 90.00°, β = 109.19°, γ = 90.00°
Space group P2/m (No. 10)
Asymmetric unit:
Sr 0.000 0.000 0.000 (multiplicity 1)
Sr 0.500 0.500 0.000 (multiplicity 1)
La 0.000 0.500 0.500 (multiplicity 1)
Np 0.500 0.000 0.500 (multiplicity 1)
P 0.264 0.000 0.720 (multiplicity 2)
P 0.279 0.500 0.287 (multiplicity 2)

Properties
Energy relative to the elements in eV/atom: -1.096
Crystal system: monoclinic

LaTb2NpP4: optimized geometry, PBE.

a = 7.043 Å, b = 4.063 Å, c = 7.063 Å
α = 90.00°, β = 109.33°, γ = 90.00°
Space group P2/m (No. 10)
Asymmetric unit:
La 0.000 0.000 0.000 (multiplicity 1)
Tb 0.500 0.000 0.500 (multiplicity 1)
Tb 0.500 0.500 0.000 (multiplicity 1)
Np 0.000 0.500 0.500 (multiplicity 1)
P 0.249 0.000 0.740 (multiplicity 2)
P 0.255 0.500 0.263 (multiplicity 2)

Properties
Energy relative to the elements in eV/atom: -1.386
Crystal system: monoclinic

La2ThNpP4: optimized geometry, PBE.

a = 7.190 Å, b = 4.156 Å, c = 7.244 Å
α = 90.00°, β = 109.36°, γ = 90.00°
Space group P2/m (No. 10)
Asymmetric unit:
La 0.000 0.000 0.000 (multiplicity 1)
La 0.500 0.500 0.000 (multiplicity 1)
Th 0.000 0.500 0.500 (multiplicity 1)
Np 0.500 0.000 0.500 (multiplicity 1)
P 0.251 0.000 0.737 (multiplicity 2)
P 0.262 0.500 0.268 (multiplicity 2)

Properties
Energy relative to the elements in eV/atom: -1.385
Crystal system: monoclinic

La2YNpP4: optimized geometry, PBE.

a = 7.126 Å, b = 4.116 Å, c = 7.165 Å
α = 90.00°, β = 109.27°, γ = 90.00°
Space group P2/m (No. 10)
Asymmetric unit:
La 0.000 0.000 0.000 (multiplicity 1)
La 0.500 0.500 0.000 (multiplicity 1)
Y 0.000 0.500 0.500 (multiplicity 1)
Np 0.500 0.000 0.500 (multiplicity 1)
P 0.249 0.000 0.732 (multiplicity 2)
P 0.260 0.500 0.270 (multiplicity 2)

Properties
Energy relative to the elements in eV/atom: -1.387
Crystal system: monoclinic

LaNpPa: optimized geometry, PBE.

a = 4.881 Å, b = 5.836 Å, c = 6.159 Å
α = 73.56°, β = 88.81°, γ = 88.17°
Space group P-1 (No. 2)
Asymmetric unit:
La 0.245 0.247 0.456 (multiplicity 2)
Np 0.220 0.398 0.997 (multiplicity 2)
Pa 0.257 0.857 0.059 (multiplicity 2)

Properties
Energy relative to the elements in eV/atom: 0.339
Crystal system: triclinic

LaNpPb2S6: optimized geometry, PBE.

a = 7.2641 Å, b = 7.2641 Å, c = 18.6973 Å
α = 90.00°, β = 90.00°, γ = 120.00°
Space group R3 (No. 146, hexagonal axes)
Asymmetric unit:
La 0.0000 0.0000 0.0000 (multiplicity 3)
Np 0.0000 0.0000 0.4948 (multiplicity 3)
Pb 0.0000 0.0000 0.2914 (multiplicity 3)
Pb 0.0000 0.0000 0.7960 (multiplicity 3)
S 0.0017 0.3909 0.2349 (multiplicity 9)
S 0.0646 0.6925 0.0732 (multiplicity 9)

Properties
Crystal system: trigonal
Uncorrected formation energy in meV/atom: -1091

La2Np2Pd15: optimized geometry, PBE.

a = 9.2556 Å, b = 9.2556 Å, c = 14.1123 Å
α = 90.00°, β = 90.00°, γ = 120.00°
Space group R-3m (No. 166, hexagonal axes)
Asymmetric unit:
La 0.0000 0.0000 0.1470 (multiplicity 6)
Np 0.0000 0.0000 0.4183 (multiplicity 6)
Pd 0.0000 0.3181 0.5000 (multiplicity 18)
Pd 0.0000 0.5000 0.0000 (multiplicity 9)
Pd 0.0005 0.5002 0.3405 (multiplicity 18)

Properties
Energy relative to the elements in eV/atom: -0.455
Crystal system: trigonal

LaNp4Pd15: optimized geometry, PBE.

a = 4.158 Å, b = 4.158 Å, c = 20.842 Å
α = 90.00°, β = 90.00°, γ = 90.00°
Space group P4/mmm (No. 123)
Asymmetric unit:
La 0.000 0.000 0.000 (multiplicity 1)
Np 0.000 0.000 0.201 (multiplicity 2)
Np 0.000 0.000 0.401 (multiplicity 2)
Pd 0.000 0.500 0.104 (multiplicity 4)
Pd 0.000 0.500 0.301 (multiplicity 4)
Pd 0.000 0.500 0.500 (multiplicity 2)
Pd 0.500 0.500 0.000 (multiplicity 1)
Pd 0.500 0.500 0.202 (multiplicity 2)
Pd 0.500 0.500 0.401 (multiplicity 2)

Properties
Energy relative to the elements in eV/atom: -0.513
Crystal system: tetragonal

LaNpPdSe3: optimized geometry, PBE.

a = 8.232 Å, b = 4.099 Å, c = 9.114 Å
α = 90.00°, β = 103.30°, γ = 90.00°
Space group P2_1/m (No. 11)
Asymmetric unit:
La 0.180 0.250 0.257 (multiplicity 2)
Np 0.327 0.750 0.830 (multiplicity 2)
Pd 0.094 0.250 0.594 (multiplicity 2)
Se 0.094 0.250 0.875 (multiplicity 2)
Se 0.258 0.750 0.512 (multiplicity 2)
Se 0.419 0.750 0.161 (multiplicity 2)

Properties
Crystal system: monoclinic
Uncorrected formation energy in meV/atom: -1323

La2NpPdSe5: optimized geometry, PBE.

a = 4.110 Å, b = 17.426 Å, c = 12.695 Å
α = 90.00°, β = 90.00°, γ = 90.00°
Space group Cmc2_1 (No. 36)
Asymmetric unit:
La 0.000 0.106 0.000 (multiplicity 4)
La 0.000 0.122 0.349 (multiplicity 4)
Np 0.000 0.179 0.674 (multiplicity 4)
Pd 0.000 0.443 0.071 (multiplicity 4)
Se 0.000 0.018 0.675 (multiplicity 4)
Se 0.000 0.302 0.012 (multiplicity 4)
Se 0.000 0.307 0.333 (multiplicity 4)
Se 0.000 0.344 0.671 (multiplicity 4)
Se 0.000 0.498 0.391 (multiplicity 4)

Properties
Crystal system: orthorhombic
Uncorrected formation energy in meV/atom: -1478

LaPmNp: optimized geometry, PBE.

a = 17.084 Å, b = 3.604 Å, c = 6.171 Å
α = 90.00°, β = 102.29°, γ = 90.00°
Space group C2/m (No. 12)
Asymmetric unit:
La 0.069 0.000 0.297 (multiplicity 4)
Pm 0.134 0.500 0.831 (multiplicity 4)
Np 0.236 0.500 0.371 (multiplicity 4)

Properties
Energy relative to the elements in eV/atom: 0.236
Crystal system: monoclinic

LaNpPt2: optimized geometry, PBE.

a = 3.567 Å, b = 3.567 Å, c = 7.225 Å
α = 90.00°, β = 90.00°, γ = 90.00°
Space group P4/mmm (No. 123)
Asymmetric unit:
La 0.000 0.000 0.000 (multiplicity 1)
Np 0.000 0.000 0.500 (multiplicity 1)
Pt 0.500 0.500 0.276 (multiplicity 2)

Properties
Energy relative to the elements in eV/atom: -0.714
Energy above the most stable polymorph in this dataset in eV per formula unit: 0.21
Crystal system: tetragonal

LaNpPt2: optimized geometry, PBE.

a = 4.2108 Å, b = 4.2108 Å, c = 19.8715 Å
α = 90.00°, β = 90.00°, γ = 120.00°
Space group R-3m (No. 166, hexagonal axes)
Asymmetric unit:
La 0.0000 0.0000 0.0000 (multiplicity 3)
Np 0.0000 0.0000 0.5000 (multiplicity 3)
Pt 0.0000 0.0000 0.2410 (multiplicity 6)

Properties
Energy relative to the elements in eV/atom: -0.767
Energy above the most stable polymorph in this dataset in eV per formula unit: 0.00
Crystal system: trigonal

La2Np2Pt15: optimized geometry, PBE.

a = 9.3685 Å, b = 9.3685 Å, c = 13.8364 Å
α = 90.00°, β = 90.00°, γ = 120.00°
Space group R-3m (No. 166, hexagonal axes)
Asymmetric unit:
La 0.0000 0.0000 0.1486 (multiplicity 6)
Np 0.0000 0.0000 0.4170 (multiplicity 6)
Pt 0.0000 0.3178 0.5000 (multiplicity 18)
Pt 0.0000 0.5000 0.0000 (multiplicity 9)
Pt 0.0002 0.5001 0.3407 (multiplicity 18)

Properties
Energy relative to the elements in eV/atom: -0.632
Crystal system: trigonal

La2NpSi3Pt12: optimized geometry, PBE.

a = 8.2267 Å, b = 8.2267 Å, c = 19.0262 Å
α = 90.00°, β = 90.00°, γ = 120.00°
Space group R-3m (No. 166, hexagonal axes)
Asymmetric unit:
La 0.0000 0.0000 0.1020 (multiplicity 6)
Np 0.0000 0.0000 0.5000 (multiplicity 3)
Si 0.0000 0.5000 0.0000 (multiplicity 9)
Pt 0.0228 0.5114 0.8742 (multiplicity 18)
Pt 0.0336 0.5168 0.3668 (multiplicity 18)

Properties
Crystal system: trigonal
Uncorrected formation energy in meV/atom: -520

LaPuNp2Se4: optimized geometry, PBE.

a = 7.186 Å, b = 4.142 Å, c = 7.271 Å
α = 90.00°, β = 109.20°, γ = 90.00°
Space group P2/m (No. 10)
Asymmetric unit:
La 0.000 0.000 0.000 (multiplicity 1)
Pu 0.500 0.500 0.000 (multiplicity 1)
Np 0.000 0.500 0.500 (multiplicity 1)
Np 0.500 0.000 0.500 (multiplicity 1)
Se 0.253 0.000 0.744 (multiplicity 2)
Se 0.259 0.500 0.261 (multiplicity 2)

Properties
Crystal system: monoclinic
Uncorrected formation energy in meV/atom: -1390

La2Pu3NpSe6: optimized geometry, PBE.

a = 18.384 Å, b = 4.182 Å, c = 8.380 Å
α = 90.00°, β = 103.17°, γ = 90.00°
Space group C2/m (No. 12)
Asymmetric unit:
La 0.165 0.000 0.331 (multiplicity 4)
Pu 0.000 0.500 0.500 (multiplicity 2)
Pu 0.169 0.000 0.835 (multiplicity 4)
Np 0.000 0.500 0.000 (multiplicity 2)
Se 0.004 0.000 0.754 (multiplicity 4)
Se 0.165 0.500 0.591 (multiplicity 4)
Se 0.166 0.500 0.074 (multiplicity 4)

Properties
Crystal system: monoclinic
Uncorrected formation energy in meV/atom: -1594

Rb3LaNp2S6: optimized geometry, PBE.

a = 7.263 Å, b = 12.579 Å, c = 8.059 Å
α = 90.00°, β = 107.50°, γ = 90.00°
Space group C2/m (No. 12)
Asymmetric unit:
Rb 0.000 0.000 0.000 (multiplicity 2)
Rb 0.000 0.335 0.000 (multiplicity 4)
La 0.000 0.500 0.500 (multiplicity 2)
Np 0.000 0.167 0.500 (multiplicity 4)
S 0.219 0.000 0.693 (multiplicity 4)
S 0.237 0.327 0.693 (multiplicity 8)

Properties
Crystal system: monoclinic
Uncorrected formation energy in meV/atom: -1528

Rb3La3NpS8: optimized geometry, PBE.

a = 8.5174 Å, b = 8.5174 Å, c = 23.3345 Å
α = 90.00°, β = 90.00°, γ = 120.00°
Space group R-3m (No. 166, hexagonal axes)
Asymmetric unit:
Rb 0.0000 0.5000 0.0000 (multiplicity 9)
La 0.0000 0.5000 0.5000 (multiplicity 9)
Np 0.0000 0.0000 0.5000 (multiplicity 3)
S 0.0000 0.0000 0.2322 (multiplicity 6)
S 0.0194 0.5097 0.2285 (multiplicity 18)

Properties
Crystal system: trigonal
Uncorrected formation energy in meV/atom: -1777

| no. | N(E_F) (states/eV per cell) |
| --- | --- |
| 1 | 11.6 |
| 2 | 12.1 |
| 3 | 6.5 |
| 4 | 11.1 |
| 5 | 12.8 |
| 6 | 11.7 |
| 7 | 14.9 |
| 8 | 23.3 |
| 9 | 62.4 |
| 10 | 49.0 |
| 11 | 21.8 |
| 12 | 39.1 |
| 13 | 25.6 |
| 14 | 11.2 |
| 15 | 34.5 |
| 16 | 68.9 |
| 17 | 47.1 |
| 18 | 29.8 |
| 19 | 70.5 |
| 20 | 45.0 |
| 21 | 13.7 |